Entry 1:
DFT (GGA-PBE) results for a relaxed K2I3 crystal.

a b c (Å): 10.3150 10.3150 10.3150
angles (deg): 47.61 47.61 47.61
Fractional coordinates of all 10 atoms:
K  0.1506  0.1506  0.1506
K  0.3494  0.3494  0.3494
K  0.6506  0.6506  0.6506
K  0.8494  0.8494  0.8494
I  0.0314  0.7500  0.4686
I  0.2500  0.5314  0.9686
I  0.4686  0.0314  0.7500
I  0.5314  0.9686  0.2500
I  0.7500  0.4686  0.0314
I  0.9686  0.2500  0.5314

Calculated values
Theoretical density, g/cm3: 2.8
Offset from the most stable computed form, eV/atom: 0.0042
Uncorrected formation energy, eV per atom: -0.973
Density of states at the Fermi level, states/eV per atom: 1.7229

=====

Entry 2:
DFT (GGA-PBE) results for a relaxed ScTa2 crystal.

a b c (Å): 8.4448 8.4448 2.8267
angles (deg): 90.00 90.00 120.00
Fractional coordinates of all 9 atoms:
Sc  0.0000  0.0000  0.0000
Sc  0.3333  0.6667  0.5000
Sc  0.6667  0.3333  0.5000
Ta  0.0000  0.3243  0.5000
Ta  0.0000  0.6579  0.0000
Ta  0.3243  0.0000  0.5000
Ta  0.3421  0.3421  0.0000
Ta  0.6579  0.0000  0.0000
Ta  0.6757  0.6757  0.5000

Calculated values
Theoretical density, g/cm3: 11.6
Offset from the most stable computed form, eV/atom: 0.0554
Energy of formation, eV/atom: 0.21
Density of states at the Fermi level, states/eV per atom: 0.8914

=====

Entry 3:
DFT (GGA-PBE) results for a relaxed BaMgZn4 crystal.

a b c (Å): 5.6914 5.6914 5.6914
angles (deg): 60.00 60.00 60.00
Fractional coordinates of all 6 atoms:
Ba  0.0000  0.0000  0.0000
Mg  0.7500  0.7500  0.7500
Zn  0.3762  0.3762  0.3762
Zn  0.3762  0.3762  0.8713
Zn  0.3762  0.8713  0.3762
Zn  0.8713  0.3762  0.3762

Calculated values
Theoretical density, g/cm3: 5.4
Offset from the most stable computed form, eV/atom: 0.0000
Energy of formation, eV/atom: -0.07
Density of states at the Fermi level, states/eV per atom: 0.5507

=====

Entry 4:
DFT (GGA-PBE) results for a relaxed KBCl2 crystal.

a b c (Å): 7.1728 7.1728 7.1728
angles (deg): 90.00 90.00 90.00
Fractional coordinates of all 16 atoms:
K  0.0000  0.0000  0.0000
K  0.0000  0.5000  0.5000
K  0.5000  0.0000  0.5000
K  0.5000  0.5000  0.0000
B  0.0000  0.0000  0.5000
B  0.0000  0.5000  0.0000
B  0.5000  0.0000  0.0000
B  0.5000  0.5000  0.5000
Cl  0.2500  0.2500  0.2500
Cl  0.2500  0.2500  0.7500
Cl  0.2500  0.7500  0.2500
Cl  0.2500  0.7500  0.7500
Cl  0.7500  0.2500  0.2500
Cl  0.7500  0.2500  0.7500
Cl  0.7500  0.7500  0.2500
Cl  0.7500  0.7500  0.7500

Calculated values
Theoretical density, g/cm3: 2.2
Offset from the most stable computed form, eV/atom: 0.1643
Uncorrected formation energy, eV per atom: 0.017
Density of states at the Fermi level, states/eV per atom: 0.0000

=====

Entry 5:
DFT (GGA-PBE) results for a relaxed SrLaMn2 crystal.

a b c (Å): 4.5545 4.1125 12.2443
angles (deg): 90.00 90.00 90.00
Fractional coordinates of all 8 atoms:
Sr  0.0000  0.0000  0.0000
Sr  0.0000  0.5000  0.5000
La  0.5000  0.0000  0.7166
La  0.5000  0.5000  0.2166
Mn  0.0000  0.0000  0.2866
Mn  0.0000  0.5000  0.7866
Mn  0.5000  0.0000  0.3976
Mn  0.5000  0.5000  0.8976

Calculated values
Theoretical density, g/cm3: 4.9
Offset from the most stable computed form, eV/atom: 0.1742
Energy of formation, eV/atom: 0.44
Density of states at the Fermi level, states/eV per atom: 1.2239

=====

Entry 6:
DFT (GGA-PBE) results for a relaxed Rb2HfTiRe crystal.

a b c (Å): 6.7060 6.7060 4.7976
angles (deg): 90.00 90.00 90.00
Fractional coordinates of all 5 atoms:
Rb  0.0000  0.5000  0.0000
Rb  0.5000  0.0000  0.0000
Hf  0.0000  0.0000  0.0000
Ti  0.0000  0.0000  0.5000
Re  0.5000  0.5000  0.5000

Calculated values
Theoretical density, g/cm3: 4.5
Energy of formation, eV/atom: 2.52
Density of states at the Fermi level, states/eV per atom: 1.7769

=====

Entry 7:
DFT (GGA-PBE) results for a relaxed Ti2SiRu crystal.

a b c (Å): 6.9830 6.9830 5.2073
angles (deg): 90.00 90.00 90.00
Fractional coordinates of all 16 atoms:
Ti  0.2318  0.2500  0.1250
Ti  0.2500  0.7318  0.3750
Ti  0.2500  0.7682  0.8750
Ti  0.2682  0.2500  0.6250
Ti  0.7318  0.7500  0.6250
Ti  0.7500  0.2318  0.8750
Ti  0.7500  0.2682  0.3750
Ti  0.7682  0.7500  0.1250
Si  0.0000  0.0000  0.5000
Si  0.0000  0.5000  0.7500
Si  0.5000  0.0000  0.2500
Si  0.5000  0.5000  0.0000
Ru  0.0000  0.0000  0.0000
Ru  0.0000  0.5000  0.2500
Ru  0.5000  0.0000  0.7500
Ru  0.5000  0.5000  0.5000

Calculated values
Theoretical density, g/cm3: 5.9
Uncorrected formation energy, eV per atom: -0.062
Density of states at the Fermi level, states/eV per atom: 1.0171

=====

Entry 8:
DFT (GGA-PBE) results for a relaxed LiTh2As3Rh4 crystal.

a b c (Å): 4.0718 4.0718 10.9232
angles (deg): 90.00 90.00 90.00
Fractional coordinates of all 10 atoms:
Li  0.0000  0.0000  0.0000
Th  0.0000  0.5000  0.7517
Th  0.5000  0.0000  0.2483
As  0.0000  0.5000  0.3671
As  0.5000  0.0000  0.6329
As  0.5000  0.5000  0.0000
Rh  0.0000  0.0000  0.5000
Rh  0.0000  0.5000  0.1455
Rh  0.5000  0.0000  0.8545
Rh  0.5000  0.5000  0.5000

Calculated values
Theoretical density, g/cm3: 10.2
Energy of formation, eV/atom: -0.93
Density of states at the Fermi level, states/eV per atom: 0.3787

=====

Entry 9:
DFT (GGA-PBE) results for a relaxed KTl3 crystal.

a b c (Å): 3.4994 11.7378 6.4539
angles (deg): 90.00 90.00 90.00
Fractional coordinates of all 8 atoms:
K  0.0000  0.0000  0.0000
K  0.5000  0.5000  0.5000
Tl  0.0000  0.2394  0.6542
Tl  0.0000  0.5000  0.9861
Tl  0.0000  0.7606  0.6542
Tl  0.5000  0.0000  0.4861
Tl  0.5000  0.2606  0.1542
Tl  0.5000  0.7394  0.1542

Calculated values
Theoretical density, g/cm3: 8.2
Energy of formation, eV/atom: -0.03
Density of states at the Fermi level, states/eV per atom: 0.5485

=====

Entry 10:
DFT (GGA-PBE) results for a relaxed MgSiSn crystal.

a b c (Å): 11.7069 11.7069 11.7069
angles (deg): 18.26 18.26 18.26
Fractional coordinates of all 6 atoms:
Mg  0.0972  0.0972  0.0972
Mg  0.9028  0.9028  0.9028
Si  0.1818  0.1818  0.1818
Si  0.8182  0.8182  0.8182
Sn  0.3656  0.3656  0.3656
Sn  0.6344  0.6344  0.6344

Calculated values
Theoretical density, g/cm3: 4.1
Offset from the most stable computed form, eV/atom: 0.0000
Uncorrected formation energy, eV per atom: 0.015
Density of states at the Fermi level, states/eV per atom: 0.3933

=====

Entry 11:
DFT (GGA-PBE) results for a relaxed Rb2HgSbAu crystal.

a b c (Å): 6.6988 6.6988 5.2346
angles (deg): 90.00 90.00 90.00
Fractional coordinates of all 5 atoms:
Rb  0.0000  0.5000  0.0000
Rb  0.5000  0.0000  0.0000
Hg  0.0000  0.0000  0.0000
Sb  0.5000  0.5000  0.5000
Au  0.0000  0.0000  0.5000

Calculated values
Theoretical density, g/cm3: 4.9
Offset from the most stable computed form, eV/atom: 0.3247
Uncorrected formation energy, eV per atom: 0.093
Density of states at the Fermi level, states/eV per atom: 0.9697

=====

Entry 12:
DFT (GGA-PBE) results for a relaxed NaGe2Pt crystal.

a b c (Å): 6.4990 6.4990 6.4990
angles (deg): 90.00 90.00 90.00
Fractional coordinates of all 16 atoms:
Na  0.0000  0.0000  0.0000
Na  0.0000  0.5000  0.5000
Na  0.5000  0.0000  0.5000
Na  0.5000  0.5000  0.0000
Ge  0.2500  0.2500  0.2500
Ge  0.2500  0.2500  0.7500
Ge  0.2500  0.7500  0.2500
Ge  0.2500  0.7500  0.7500
Ge  0.7500  0.2500  0.2500
Ge  0.7500  0.2500  0.7500
Ge  0.7500  0.7500  0.2500
Ge  0.7500  0.7500  0.7500
Pt  0.0000  0.0000  0.5000
Pt  0.0000  0.5000  0.0000
Pt  0.5000  0.0000  0.0000
Pt  0.5000  0.5000  0.5000

Calculated values
Theoretical density, g/cm3: 8.8
Energy of formation, eV/atom: -0.15
Density of states at the Fermi level, states/eV per atom: 0.5533